# Y2MgO

A relaxed Y2MgO crystal (PBE, Alexandria).

Final energy: -6.17 eV per atom
V: 25.30 Å³/atom
E_form (uncorrected): -1.30 eV per atom

Cell and atoms, written as extended XYZ:
```
8
Lattice="7.0086 0.0000 0.0000 0.0000 7.0086 0.0000 3.5043 3.5043 4.1211" Properties=species:S:1:pos:R:3 pbc="T T T"
Y 5.2565 6.1144 3.0909
Y 2.6101 5.2565 1.0303
Y 4.3985 1.7522 1.0303
Y 8.7608 7.9028 3.0909
Mg 0.0000 0.0000 0.0000
Mg 7.0086 3.5043 2.0606
O 3.5043 3.5043 0.0000
O 3.5043 7.0086 2.0606
```


# YMg3O

A relaxed YMg3O crystal (PBE, Alexandria).

Final energy: -3.86 eV per atom
V: 19.77 Å³/atom
E_form (uncorrected): -0.62 eV per atom

Cell and atoms, written as extended XYZ:
```
5
Lattice="-1.7000 -0.1280 -4.2977 4.1725 -1.1643 -1.6158 -1.0375 -4.4726 0.5436" Properties=species:S:1:pos:R:3 pbc="T T T"
Y 0.7175 -2.8825 -2.6849
Mg -0.5187 -2.2363 0.2718
Mg -0.8500 -0.0640 -2.1488
Mg 2.0863 -0.5821 -0.8079
O 0.0000 0.0000 0.0000
```


# Y2MgO

A relaxed Y2MgO crystal (PBE, Alexandria).

Final energy: -6.01 eV per atom
V: 23.54 Å³/atom
E_form (uncorrected): -1.14 eV per atom

Cell and atoms, written as extended XYZ:
```
4
Lattice="3.4608 0.0000 0.0000 1.7304 2.9972 0.0000 1.7304 0.9991 9.0789" Properties=species:S:1:pos:R:3 pbc="T T T"
Mg 0.0000 0.0000 0.0000
O 3.4608 1.9981 4.5395
Y 5.1912 2.9972 3.2006
Y 1.7304 0.9991 5.8783
```


> What is the final energy in the second record?

-3.86 eV per atom


> Among the records above, which one has the lowest V?

YMg3O


> final energy of number 2 (YMg3O)?

-3.86 eV per atom


> Among the records above, which one has the lowest V?

YMg3O